PBE Sr2CoAgN, optimized geometry; E = -23.7 eV per cell; symmetry = No. 123
1.0
-4.019 -0.392 -3.654
2.146 -4.646 -1.862
-1.944 -1.834 2.335
Ag Co N Sr
1 1 1 2
Cartesian
-0.972 -0.917 1.168
-1.908 -3.436 -1.591
-0.937 -2.519 -2.758
-2.010 -0.196 -1.827
1.073 -2.323 -0.931